1.
An optimized crystal structure of Er5ThScIn2. Source: the Alexandria database, functional PBE-GGA.

POSCAR file:
```
Er5ThScIn2
1.0
7.506 0.000 0.000
0.000 7.506 0.000
-3.753 -3.753 9.605
Er In Sc Th
10 4 2 2
Cartesian
2.248 -1.505 7.190
5.258 6.001 2.415
6.001 2.248 2.415
1.505 2.248 7.190
0.000 0.000 0.000
1.505 5.258 2.415
-2.248 1.505 7.190
-1.505 -2.248 7.190
3.753 3.753 0.000
2.248 1.505 2.415
0.938 2.815 0.000
4.691 0.938 0.000
6.568 4.691 0.000
2.815 6.568 0.000
0.000 3.753 4.803
3.753 0.000 4.803
3.753 3.753 4.803
0.000 0.000 4.803
```

Summary:
SG: I4/mcm (140)
Spin magnetization (μB per atom): 0.000
DFT formation energy (eV/f.u.): 0.32
DOS(E_F) (states/eV/f.u.): 14.009

2.
An optimized crystal structure of ErThScIn. Source: the Alexandria database, functional PBE-GGA.

POSCAR file:
```
ErThScIn
1.0
-0.200 3.955 -3.575
-1.682 -0.977 -4.968
-4.717 1.879 -1.638
In Er Th Sc
1 1 1 1
Cartesian
0.000 0.000 0.000
-4.950 3.643 -7.636
-3.300 2.429 -5.090
-1.650 1.214 -2.545
```

Summary:
SG: F-43m (216)
Spin magnetization (μB per atom): 0.331
DFT formation energy (eV/f.u.): -0.12
DOS(E_F) (states/eV/f.u.): 7.080

3.
An optimized crystal structure of Er6Tm2Sc3In. Source: the Alexandria database, functional PBE-GGA.

POSCAR file:
```
Er6Tm2Sc3In
1.0
5.924 -0.001 0.002
-2.961 5.130 0.002
-0.992 -1.718 11.081
Er In Sc Tm
6 1 3 2
Cartesian
0.008 3.414 8.252
1.979 3.426 2.842
1.962 -0.003 2.834
2.953 1.713 8.252
-0.009 -0.015 8.243
-0.983 1.699 2.834
0.000 0.000 0.000
0.985 1.706 5.543
-1.981 3.418 5.543
3.951 -0.007 5.543
2.960 1.711 0.002
0.003 3.418 0.002
```

Summary:
SG: C2/m (12)
Spin magnetization (μB per atom): 0.000
DFT formation energy (eV/f.u.): -0.32
DOS(E_F) (states/eV/f.u.): 14.928

4.
An optimized crystal structure of ErTmScIn. Source: the Alexandria database, functional PBE-GGA.

POSCAR file:
```
ErTmScIn
1.0
-4.757 -1.006 -2.104
-3.544 -2.858 2.709
-4.322 2.333 1.986
Er Tm In Sc
1 1 1 1
Cartesian
-9.468 -1.148 1.944
-3.156 -0.383 0.648
-6.312 -0.765 1.296
0.000 0.000 0.000
```

Summary:
SG: F-43m (216)
Spin magnetization (μB per atom): 0.151
ΔE to the lowest computed polymorph (eV per atom): 0.111
DFT formation energy (eV/f.u.): -0.58
DOS(E_F) (states/eV/f.u.): 6.144